A plane-wave DFT calculation with PBE was carried out for a relaxed SrMg2Cr crystal.

Its total magnetic moment is 3.77 μB per formula unit. Its energy of formation is 0.556 eV per atom.

It has space group R-3m (No. 166, hexagonal axes), with a = 3.5059 Å, b = 3.5059 Å, c = 30.9711 Å, α = 90.00°, β = 90.00° and γ = 120.00°. The inequivalent atoms are Sr at (0.0000, 0.0000, 0.0000), Mg at (0.0000, 0.0000, 0.2360) and Cr at (0.0000, 0.0000, 0.5000).